First-principles (PBE-GGA) data for crystalline PmY3Te4 at its relaxed geometry, as listed in Alexandria.

Unit cell a=7.6346 b=7.6346 c=4.3438 alpha=90.00 beta=90.00 gamma=108.91
Last column: nearest neighbours and their distance in Å.
Atoms (fractional coordinates):
Pm 0.0000 0.0000 0.0000  6 Te 3.14
Y 0.0000 0.5000 0.5000  6 Te 3.11
Y 0.5000 0.0000 0.5000  6 Te 3.11
Y 0.5000 0.5000 0.0000  6 Te 3.07
Te 0.2529 0.7471 0.0000  5 Y 3.07-3.11, 1 Pm 3.14
Te 0.2557 0.2557 0.5000  4 Y 3.07-3.11, 2 Pm 3.14
Te 0.7443 0.7443 0.5000  4 Y 3.07-3.11, 2 Pm 3.14
Te 0.7471 0.2529 0.0000  5 Y 3.07-3.11, 1 Pm 3.14

For the theoretical density, the calculation gives 6.4 g/cm3. For the formation energy (no corrections), the calculation gives -1.333 eV per atom. The calculation puts the total DFT energy (no corrections) at -5.9215 eV per atom.

***

First-principles (PBE-GGA) data for crystalline Pm2YTe3 at its relaxed geometry, as listed in Alexandria.

Unit cell a=7.6741 b=7.6741 c=7.6741 alpha=146.28 beta=131.93 gamma=60.00
Last column: nearest neighbours and their distance in Å.
Atoms (fractional coordinates):
Pm 0.1726 0.1726 0.0000  6 Te 3.13-3.20
Pm 0.8274 0.8274 0.0000  6 Te 3.13-3.20
Y 0.5000 0.5000 0.0000  6 Te 3.08-3.13
Te 0.0000 0.5000 0.5000  2 Y 3.13, 4 Pm 3.20
Te 0.3398 0.8398 0.5000  2 Y 3.08, 4 Pm 3.13-3.15
Te 0.6602 0.1602 0.5000  2 Y 3.08, 4 Pm 3.13-3.15

For the theoretical density, the calculation gives 6.8 g/cm3. For the formation energy (no corrections), the calculation gives -1.375 eV per atom. The calculation puts the total DFT energy (no corrections) at -5.6069 eV per atom.

***

First-principles (PBE-GGA) data for crystalline Pm4YTe7 at its relaxed geometry, as listed in Alexandria.

Unit cell a=7.6032 b=7.6032 c=13.3867 alpha=103.84 beta=103.84 gamma=33.04
Last column: nearest neighbours and their distance in Å.
Atoms (fractional coordinates):
Pm 0.0000 0.0000 0.0000  6 Te 3.09-3.23
Pm 0.1852 0.1852 0.7643  7 Te 3.17-3.37
Pm 0.5859 0.5859 0.3848  7 Te 3.18-3.38
Pm 0.8852 0.8852 0.5730  6 Te 3.10-3.15
Y 0.7705 0.7705 0.1507  6 Te 3.02-3.18
Te 0.1478 0.1478 0.2243  2 Y 3.12, 3 Pm 3.23-3.33
Te 0.2233 0.2233 0.5260  5 Pm 3.15-3.37
Te 0.3829 0.3829 0.0770  2 Y 3.02, 2 Pm 3.09
Te 0.5469 0.5469 0.6231  5 Pm 3.15-3.38
Te 0.6294 0.6294 0.9276  4 Pm 3.18-3.32, 1 Y 3.18
Te 0.8483 0.8483 0.7910  4 Pm 3.10-3.17
Te 0.9217 0.9217 0.3546  1 Y 3.05, 3 Pm 3.10-3.18

For the theoretical density, the calculation gives 6.3 g/cm3. For the formation energy (no corrections), the calculation gives -1.426 eV per atom. The calculation puts the total DFT energy (no corrections) at -5.3810 eV per atom.

***

First-principles (PBE-GGA) data for crystalline PmY4Te6 at its relaxed geometry, as listed in Alexandria.

Unit cell a=7.4767 b=7.4767 c=22.3147 alpha=90.00 beta=90.00 gamma=146.63
Last column: nearest neighbours and their distance in Å.
Atoms (fractional coordinates):
Pm 0.1537 0.8463 0.7500  6 Te 3.17-3.22
Pm 0.8463 0.1537 0.2500  6 Te 3.17-3.22
Y 0.0882 0.9118 0.1252  6 Te 3.07-3.10
Y 0.0882 0.9118 0.3748  6 Te 3.07-3.10
Y 0.3561 0.6439 0.0354  6 Te 3.06-3.14
Y 0.3561 0.6439 0.4646  6 Te 3.06-3.14
Y 0.6439 0.3561 0.5354  6 Te 3.06-3.14
Y 0.6439 0.3561 0.9646  6 Te 3.06-3.14
Y 0.9118 0.0882 0.6252  6 Te 3.07-3.10
Y 0.9118 0.0882 0.8748  6 Te 3.07-3.10
Te 0.0000 0.0000 0.0000  6 Y 3.07-3.08
Te 0.0000 0.0000 0.5000  6 Y 3.07-3.08
Te 0.1834 0.8166 0.2500  2 Y 3.10, 2 Pm 3.17
Te 0.2669 0.7331 0.5933  5 Y 3.06-3.14
Te 0.2669 0.7331 0.9067  5 Y 3.06-3.14
Te 0.4460 0.5540 0.1637  3 Y 3.08-3.14, 2 Pm 3.22
Te 0.4460 0.5540 0.3363  3 Y 3.08-3.14, 2 Pm 3.22
Te 0.5540 0.4460 0.6637  3 Y 3.08-3.14, 2 Pm 3.22
Te 0.5540 0.4460 0.8363  3 Y 3.08-3.14, 2 Pm 3.22
Te 0.7331 0.2669 0.0933  5 Y 3.06-3.14
Te 0.7331 0.2669 0.4067  5 Y 3.06-3.14
Te 0.8166 0.1834 0.7500  2 Y 3.10, 2 Pm 3.17

For the theoretical density, the calculation gives 6.1 g/cm3. For the formation energy (no corrections), the calculation gives -1.391 eV per atom. The calculation puts the total DFT energy (no corrections) at -5.8871 eV per atom.

***

First-principles (PBE-GGA) data for crystalline PmY4Te5 at its relaxed geometry, as listed in Alexandria.

Unit cell a=16.0274 b=16.0274 c=16.0274 alpha=164.37 beta=164.37 gamma=22.18
Last column: nearest neighbours and their distance in Å.
Atoms (fractional coordinates):
Pm 0.0000 0.0000 0.0000  6 Te 3.08-3.27
Y 0.2082 0.2082 0.0000  6 Te 3.06-3.28
Y 0.4054 0.4054 0.0000  6 Te 2.98-3.14
Y 0.5946 0.5946 0.0000  6 Te 2.98-3.14
Y 0.7918 0.7918 0.0000  6 Te 3.06-3.28
Te 0.1041 0.1041 0.0000  5 Y 3.10-3.28, 1 Pm 3.27
Te 0.3056 0.3056 0.0000  6 Y 3.06-3.14
Te 0.5000 0.5000 0.0000  2 Y 2.98, 4 Pm 3.08
Te 0.6944 0.6944 0.0000  6 Y 3.06-3.14
Te 0.8959 0.8959 0.0000  5 Y 3.10-3.28, 1 Pm 3.27

For the theoretical density, the calculation gives 6.3 g/cm3. For the formation energy (no corrections), the calculation gives -1.331 eV per atom. The calculation puts the total DFT energy (no corrections) at -5.9626 eV per atom.

***

First-principles (PBE-GGA) data for crystalline PmY6Te8 at its relaxed geometry, as listed in Alexandria.

Unit cell a=8.7051 b=8.7051 c=8.7051 alpha=60.00 beta=60.00 gamma=60.00
Last column: nearest neighbours and their distance in Å.
Atoms (fractional coordinates):
Pm 0.0000 0.0000 0.0000  6 Te 3.20
Y 0.0000 0.0000 0.5000  6 Te 3.08
Y 0.0000 0.5000 0.0000  6 Te 3.08
Y 0.0000 0.5000 0.5000  6 Te 3.08
Y 0.5000 0.0000 0.0000  6 Te 3.08
Y 0.5000 0.0000 0.5000  6 Te 3.08
Y 0.5000 0.5000 0.0000  6 Te 3.08
Te 0.2500 0.2500 0.2500  6 Y 3.08
Te 0.2598 0.2598 0.7402  4 Y 3.08, 1 Pm 3.20
Te 0.2598 0.7402 0.2598  4 Y 3.08, 1 Pm 3.20
Te 0.2598 0.7402 0.7402  4 Y 3.08, 1 Pm 3.20
Te 0.7402 0.2598 0.2598  4 Y 3.08, 1 Pm 3.20
Te 0.7402 0.2598 0.7402  4 Y 3.08, 1 Pm 3.20
Te 0.7402 0.7402 0.2598  4 Y 3.08, 1 Pm 3.20
Te 0.7500 0.7500 0.7500  6 Y 3.08

For the theoretical density, the calculation gives 6.0 g/cm3. The value obtained for the energy above the most stable polymorph in this dataset is 0.000 eV/atom. For the formation energy (no corrections), the calculation gives -1.395 eV per atom. The calculation puts the total DFT energy (no corrections) at -5.9727 eV per atom.